[1]
VASP calculation (GGA-PBE) on Sr3Sn4Hg2 after structural relaxation.

```
9
Lattice="-3.3265 1.2187 3.3314 2.5008 -0.5312 6.2409 1.4241 9.1373 1.6287" Properties=species:S:1:pos:R:3 pbc="T T T"
Sn 1.6900 5.7587 3.1302
Sn -1.0916 4.0661 8.0708
Sn 0.3642 8.9937 7.7218
Sn 0.2342 0.8311 3.4792
Sr 0.0000 0.0000 0.0000
Sr 1.6927 5.7567 6.6831
Sr -1.0943 4.0681 4.5179
Hg -0.6791 7.4545 3.6937
Hg 1.2775 2.3704 7.5073
```

Properties
Symmetry: C2/m, No. 12
Crystal system: monoclinic
Excess energy over the best structure of this formula in the dataset: 52 meV/atom
D(E_F): 4.91 states/eV/f.u.

***

[2]
VASP calculation (GGA-PBE) on Sr2Sn5Hg3 after structural relaxation.

```
20
Lattice="7.2207 0.0000 0.0000 3.6104 9.2649 0.2506 3.6104 1.6767 9.1153" Properties=species:S:1:pos:R:3 pbc="T T T"
Hg 10.8311 7.8532 4.6047
Hg 5.4155 0.0000 0.0000
Hg 7.2207 5.7610 7.0490
Hg 3.6104 3.0883 4.7612
Hg 7.2207 5.1806 2.3169
Hg 1.8052 0.0000 0.0000
Sr 10.8311 4.7684 8.1460
Sr 7.2207 2.1575 5.9111
Sr 7.2207 8.7841 3.4548
Sr 3.6104 6.1731 1.2199
Sn 7.2207 0.4332 2.2777
Sn 9.0259 2.8367 2.4282
Sn 7.2207 10.5084 7.0882
Sn 5.4155 8.1048 6.9377
Sn 3.6104 2.3173 0.0766
Sn 10.8311 8.6243 9.2893
Sn 9.0259 8.1048 6.9377
Sn 5.4155 2.8367 2.4282
Sn 9.0259 5.4708 4.6830
Sn 5.4155 5.4708 4.6830
```

Properties
Symmetry: Ibam, No. 72
Crystal system: orthorhombic
D(E_F): 3.01 states/eV/f.u.

***

[3]
VASP calculation (GGA-PBE) on Sr6SnHg5 after structural relaxation.

```
12
Lattice="5.4269 0.0215 -1.5866 -1.1134 7.1281 -3.7122 -0.0885 0.4775 9.8116" Properties=species:S:1:pos:R:3 pbc="T T T"
Sr -0.1474 6.6919 -0.4010
Sr 2.3462 2.2760 8.0870
Sr 1.8789 5.3512 -3.5742
Sr 3.8158 4.4955 3.0601
Sr 0.4092 3.1317 1.4528
Sr 4.3724 0.9353 4.9139
Hg 0.8213 6.2601 2.9088
Hg 3.4037 1.3671 1.6041
Hg -0.5567 3.5641 -1.8561
Hg 1.3858 2.7186 4.8048
Hg 2.8393 4.9086 -0.2919
Sn 0.0000 0.0000 0.0000
```

Properties
Symmetry: C2/m, No. 12
Crystal system: monoclinic
D(E_F): 7.04 states/eV/f.u.

***

Which calculated volume belongs to each record? In order, 277.08 606.77 389.26 Å³ per cell.
Which ΔH_f (0 K) belongs to each record? In order, -0.461 -0.270 -0.567 eV per atom.